Record 1
# Tb3Er4Bi8

A relaxed Tb3Er4Bi8 crystal (GGA-PBE, the Alexandria database).

The structure in POSCAR format:
```
Tb3Er4Bi8
1.0
-4.468 3.016 -7.057
8.346 -2.913 -0.946
-2.286 -7.744 3.720
Tb Bi Er
3 8 4
Direct
0.500 0.500 0.500
0.500 0.500 0.000
0.500 0.000 0.500
0.003 0.747 0.747
0.997 0.253 0.253
0.508 0.252 0.252
0.492 0.748 0.748
0.000 0.746 0.254
0.500 0.751 0.249
0.500 0.249 0.751
0.000 0.254 0.746
0.000 0.000 0.500
0.000 0.500 0.000
0.000 0.000 0.000
0.500 0.000 0.000
```

Computed properties:
For the total energy, the calculation gives -0.358 Ry/atom. The value obtained for the magnetic moment is 0.0000 μB per atom. Its space-group type is C2/m (12). The crystal system is monoclinic.

Record 2
# MgCuW2

A relaxed MgCuW2 crystal (GGA-PBE, the Alexandria database).

The structure in POSCAR format:
```
MgCuW2
1.0
4.782 0.000 0.001
4.042 2.556 0.001
0.446 0.129 5.164
Cu Mg W
1 1 2
Direct
0.495 0.495 0.486
0.245 0.245 0.267
0.758 0.758 0.762
0.002 0.002 0.985
```

Computed properties:
For the total energy, the calculation gives -0.549 Ry/atom. The value obtained for the magnetic moment is 0.0000 μB per atom. Its space-group type is Cm (8). The crystal system is monoclinic.

Repeat the first record exactly.
# Tb3Er4Bi8

A relaxed Tb3Er4Bi8 crystal (GGA-PBE, the Alexandria database).

The structure in POSCAR format:
```
Tb3Er4Bi8
1.0
-4.468 3.016 -7.057
8.346 -2.913 -0.946
-2.286 -7.744 3.720
Tb Bi Er
3 8 4
Direct
0.500 0.500 0.500
0.500 0.500 0.000
0.500 0.000 0.500
0.003 0.747 0.747
0.997 0.253 0.253
0.508 0.252 0.252
0.492 0.748 0.748
0.000 0.746 0.254
0.500 0.751 0.249
0.500 0.249 0.751
0.000 0.254 0.746
0.000 0.000 0.500
0.000 0.500 0.000
0.000 0.000 0.000
0.500 0.000 0.000
```

Computed properties:
For the total energy, the calculation gives -0.358 Ry/atom. The value obtained for the magnetic moment is 0.0000 μB per atom. Its space-group type is C2/m (12). The crystal system is monoclinic.

magnetic moment of number 2 (MgCuW2)? 0.0000 μB per atom